A | ZrWAu2 | PBE | optimized geometry

Structure (CIF):
```
data_ZrWAu2
_chemical_formula_sum 'Zr4 W4 Au8'
_space_group_name_H-M_alt 'F m m m'
_space_group_IT_number 69
_space_group_name_Hall '-F 2 2'
_cell_length_a 5.8694
_cell_length_b 5.8957
_cell_length_c 8.3762
_cell_angle_alpha 90.00
_cell_angle_beta 90.00
_cell_angle_gamma 90.00
loop_
_atom_site_label
_atom_site_type_symbol
_atom_site_fract_x
_atom_site_fract_y
_atom_site_fract_z
Zr1 Zr 0.0000 0.0000 0.0000
W1 W 0.0000 0.0000 0.5000
Au1 Au 0.2500 0.2500 0.2500
```

---

B | ZrWAu2 | PBE | optimized geometry

Structure (CIF):
```
data_ZrWAu2
_chemical_formula_sum 'Zr4 W4 Au8'
_space_group_name_H-M_alt 'F m -3 m'
_space_group_IT_number 225
_space_group_name_Hall '-F 4 2 3'
_cell_length_a 6.6725
_cell_length_b 6.6725
_cell_length_c 6.6725
_cell_angle_alpha 90.00
_cell_angle_beta 90.00
_cell_angle_gamma 90.00
loop_
_atom_site_label
_atom_site_type_symbol
_atom_site_fract_x
_atom_site_fract_y
_atom_site_fract_z
Zr1 Zr 0.0000 0.0000 0.0000
W1 W 0.0000 0.0000 0.5000
Au1 Au 0.2500 0.2500 0.2500
```

---

Which is the most stable structure? A is the most stable.